## NiCS2Cl (PBE)

Data for NiCS2Cl after structural relaxation.

Lattice parameters (Å, degrees): 3.754 3.754 6.879 90.00 90.00 90.00
Atoms (fractional coordinates):
Ni 0.000 0.000 0.000
C 0.500 0.500 0.500
S 0.000 0.500 0.500
S 0.500 0.000 0.500
Cl 0.500 0.500 0.000

Computed properties:
Total magnetic moment   1.06 μB per formula unit
Formation energy without anion corrections   28.59 kcal/mol of atoms
Fermi-level density of states   7.7 states/eV/cell
E above lowest polymorph   0 meV/atom